DFT (PBE+U) results for a relaxed Na2TaCoO4 crystal.

VASP energy ... -6.7377 eV/atom
Volume ... 14.8 A^3/atom

Cell and atoms, written as POSCAR:
```
Na2TaCoO4
1.0
-2.7276 2.7276 3.9807
2.7276 -2.7276 3.9807
2.7276 2.7276 -3.9807
Na Ta Co O
2 1 1 4
Cartesian
0.0000 0.0000 0.0000
0.0000 2.7276 1.9903
0.0000 0.0000 3.9807
2.7276 0.0000 1.9903
1.2172 -1.0169 2.9529
1.7107 1.5104 1.0278
1.5104 3.7445 -1.0278
1.0169 1.2172 5.0084
```